The following is a PBE calculation of crystalline AcErHg6 at its relaxed geometry, from the Alexandria database.

Geometry as POSCAR:
```
AcErHg6
1.0
5.077 0.000 0.000
0.000 3.466 5.972
0.000 -3.466 5.972
Ac Er Hg
1 1 6
Direct
0.000 0.000 0.000 Ac
0.500 0.680 0.680 Er
0.000 0.002 0.502 Hg
0.000 0.502 0.002 Hg
0.000 0.517 0.517 Hg
0.500 0.180 0.180 Hg
0.500 0.191 0.644 Hg
0.500 0.644 0.191 Hg
```

Output
VASP energy in eV for the cell shown: -13.196
Formation energy in kJ per mole of atoms: -32.7
SG: No. 38

=====

The following is a PBE calculation of crystalline HfCo4Pd at its relaxed geometry, from the Alexandria database.

Geometry as POSCAR:
```
HfCo4Pd
1.0
0.000 3.401 3.401
3.401 0.000 3.401
3.401 3.401 0.000
Hf Co Pd
1 4 1
Direct
0.000 0.000 0.000 Hf
0.127 0.624 0.624 Co
0.624 0.127 0.624 Co
0.624 0.624 0.127 Co
0.624 0.624 0.624 Co
0.250 0.250 0.250 Pd
```

Output
VASP energy in eV for the cell shown: -45.236
Formation energy in kJ per mole of atoms: -26.8
SG: No. 216

=====

The following is a PBE calculation of crystalline LaCdTe2 at its relaxed geometry, from the Alexandria database.

Geometry as POSCAR:
```
LaCdTe2
1.0
3.867 -2.235 0.000
3.867 2.235 0.000
-2.567 0.000 7.825
La Cd Te
1 1 2
Direct
0.000 0.000 0.000 La
0.500 0.500 0.500 Cd
0.250 0.250 0.749 Te
0.750 0.750 0.251 Te
```

Output
VASP energy in eV for the cell shown: -15.738
Formation energy (no corrections) in kcal/mol of atoms: -20.82
SG: No. 12